Material: MnAgHgCl6
Method: DFT, PBE-GGA
State: relaxed

Cell: 6.5502 6.5502 11.7903 Å, 90.00 90.00 120.00°
Last column: nearest neighbours and their distance in Å.
Fractional positions:
Mn (0.3333, 0.6667, 0.2500)  6 Cl 2.41
Mn (0.6667, 0.3333, 0.7500)  6 Cl 2.41
Ag (0.0000, 0.0000, 0.0000)  6 Cl 2.76
Ag (0.0000, 0.0000, 0.5000)  6 Cl 2.76
Hg (0.3333, 0.6667, 0.7500)  6 Cl 2.71
Hg (0.6667, 0.3333, 0.2500)  6 Cl 2.71
Cl (0.0356, 0.3658, 0.1305)  1 Mn 2.41
Cl (0.0356, 0.6698, 0.3695)  1 Mn 2.41
Cl (0.3302, 0.3658, 0.3695)  1 Mn 2.41
Cl (0.3302, 0.9644, 0.1305)  1 Mn 2.41
Cl (0.3658, 0.0356, 0.6305)  1 Mn 2.41
Cl (0.3658, 0.3302, 0.8695)  1 Mn 2.41
Cl (0.6342, 0.6698, 0.1305)  1 Mn 2.41
Cl (0.6342, 0.9644, 0.3695)  1 Mn 2.41
Cl (0.6698, 0.0356, 0.8695)  1 Mn 2.41
Cl (0.6698, 0.6342, 0.6305)  1 Mn 2.41
Cl (0.9644, 0.3302, 0.6305)  1 Mn 2.41
Cl (0.9644, 0.6342, 0.8695)  1 Mn 2.41

Properties
DFT total energy: -59.1 eV for the cell shown
volume: 24.34 A^3/atom
uncorrected formation energy: -0.68 eV/atom